Entry 1:
This record from Alexandria via LeMat-Bulk describes a relaxed ZnCrIn2 crystal. The functional is PBE-GGA.

## Properties
**Energy**: -15.32 eV for the cell shown

```
4
Lattice="5.1835 -0.1831 0.0040 1.8536 4.8442 -0.0040 -3.5207 -2.3273 3.0152" Properties=species:S:1:pos:R:3 pbc="T T T"
Cr 0.9257 2.4237 1.5056
In 0.0001 0.0000 0.0000
In 3.5184 2.3305 0.0000
Zn 2.5907 -0.0899 1.5096
```


Entry 2:
This record from Alexandria via LeMat-Bulk describes a relaxed KCa2OsO6 crystal. The functional is PBE-GGA.

## Properties
**Formation energy without anion corrections**: -183.7 kJ/mol of atoms
**Energy**: -65.12 eV for the cell shown

```
10
Lattice="-2.9816 3.6532 -3.2763 -3.4755 1.3274 4.6431 5.9306 1.0641 0.3229" Properties=species:S:1:pos:R:3 pbc="T T T"
K -1.4908 1.8266 -1.6381
Ca 1.5442 1.5679 0.7076
Ca -2.0707 4.4768 0.9822
Os -1.7377 0.6637 2.3216
O -1.4474 2.4939 2.0157
O 3.8777 1.4489 0.7627
O -2.8310 3.9949 -1.1748
O 2.3045 2.0498 2.8645
O -4.4043 4.5958 0.9270
O 0.9209 3.5508 -0.3259
```


Entry 3:
This record from Alexandria via LeMat-Bulk describes a relaxed Ca2NiCl6 crystal. The functional is PBE-GGA.

## Properties
**Formation energy without anion corrections**: -166.5 kJ/mol of atoms
**Energy**: -72.80 eV for the cell shown
**Relative energy among the computed polymorphs**: 25 meV per atom

```
18
Lattice="-6.0612 -0.0915 -1.3478 -0.5507 -5.4900 2.8494 -2.3679 5.5682 10.2705" Properties=species:S:1:pos:R:3 pbc="T T T"
Ca -0.7899 1.8574 3.4260
Ca -5.2798 1.8508 9.3120
Ca -3.7000 -1.8641 2.4601
Ca -1.5780 3.7108 6.8445
Ni 0.0000 0.0000 0.0000
Ni -4.4899 -0.0067 5.8860
Cl -2.8994 0.2042 4.0691
Cl -5.3721 -1.8832 4.6307
Cl -3.5949 0.2548 10.7989
Cl -7.0445 3.6344 8.1714
Cl -1.9353 -3.6477 3.6007
Cl -5.3849 -0.2682 0.9732
Cl -3.6077 1.8699 7.1414
Cl -6.0804 -0.2175 7.7030
Cl -1.8598 -1.5700 0.4224
Cl -4.7521 -4.0115 1.0792
Cl -2.9399 -1.5252 7.0667
Cl -6.0399 1.5119 4.7054
```


Q: Among the records above, which one has the highest energy?
A: ZnCrIn2


Q: Which formula does entry 2 have?
A: KCa2OsO6


Q: Which of these has the highest energy?
A: ZnCrIn2


Q: What is the energy in the second record?
A: -65.12 eV for the cell shown